Compound: Pm7SnBr12
Source: the Alexandria database
Functional: PBE
Structure: relaxed

## Properties
Energy relative to the elements, uncorrected in eV/atom: -1.5865
V in Å³/cell: 691.9
DOS at the Fermi energy in states/eV/f.u.: 9.05
Total magnetization in μB/cell: 0.00
Symmetry: R-3

a = 9.517 Å, b = 9.517 Å, c = 9.517 Å
α = 108.26°, β = 108.26°, γ = 108.26°
Positions (direct):
Pm: 0.000 0.000 0.000
Pm: 0.158 0.458 0.382
Pm: 0.382 0.158 0.458
Pm: 0.458 0.382 0.158
Pm: 0.542 0.618 0.842
Pm: 0.618 0.842 0.542
Pm: 0.842 0.542 0.618
Sn: 0.500 0.500 0.500
Br: 0.026 0.106 0.338
Br: 0.106 0.338 0.026
Br: 0.194 0.577 0.728
Br: 0.272 0.806 0.423
Br: 0.338 0.026 0.106
Br: 0.423 0.272 0.806
Br: 0.577 0.728 0.194
Br: 0.662 0.974 0.894
Br: 0.728 0.194 0.577
Br: 0.806 0.423 0.272
Br: 0.894 0.662 0.974
Br: 0.974 0.894 0.662

---

Compound: Pm2SnBr
Source: the Alexandria database
Functional: PBE
Structure: relaxed

## Properties
Energy relative to the elements, uncorrected in eV/atom: -0.8875
V in Å³/cell: 108.0
DOS at the Fermi energy in states/eV/f.u.: 2.52
Total magnetization in μB/cell: 0.00
Symmetry: P4/mmm

a = 3.578 Å, b = 3.578 Å, c = 8.438 Å
α = 90.00°, β = 90.00°, γ = 90.00°
Positions (direct):
Pm: 0.000 0.000 0.248
Pm: 0.000 0.000 0.752
Sn: 0.500 0.500 0.000
Br: 0.500 0.500 0.500

---

Compound: TbPmSnBr
Source: the Alexandria database
Functional: PBE
Structure: relaxed

## Properties
Energy relative to the elements, uncorrected in eV/atom: -0.8327
V in Å³/cell: 109.8
DOS at the Fermi energy in states/eV/f.u.: 4.15
Total magnetization in μB/cell: 0.01
Symmetry: F-43m

a = 5.375 Å, b = 5.375 Å, c = 5.375 Å
α = 60.00°, β = 60.00°, γ = 60.00°
Positions (direct):
Tb: 0.000 0.000 0.000
Pm: 0.500 0.500 0.500
Sn: 0.750 0.750 0.750
Br: 0.250 0.250 0.250

---

Compound: PmTlSnBr6
Source: the Alexandria database
Functional: PBE
Structure: relaxed

## Properties
Energy relative to the elements, uncorrected in eV/atom: -1.2989
V in Å³/cell: 725.2
DOS at the Fermi energy in states/eV/f.u.: 0.00
Total magnetization in μB/cell: 0.00
Symmetry: P-31c

a = 7.651 Å, b = 7.651 Å, c = 14.307 Å
α = 90.00°, β = 90.00°, γ = 120.00°
Positions (direct):
Pm: 0.333 0.667 0.250
Pm: 0.667 0.333 0.750
Tl: 0.000 0.000 0.000
Tl: 0.000 0.000 0.500
Sn: 0.333 0.667 0.750
Sn: 0.667 0.333 0.250
Br: 0.011 0.370 0.134
Br: 0.011 0.641 0.366
Br: 0.359 0.370 0.366
Br: 0.359 0.989 0.134
Br: 0.370 0.011 0.634
Br: 0.370 0.359 0.866
Br: 0.630 0.641 0.134
Br: 0.630 0.989 0.366
Br: 0.641 0.011 0.866
Br: 0.641 0.630 0.634
Br: 0.989 0.359 0.634
Br: 0.989 0.630 0.866

---

Compound: SrPmBr2
Source: the Alexandria database
Functional: PBE
Structure: relaxed

## Properties
Energy relative to the elements, uncorrected in eV/atom: -1.1813
V in Å³/cell: 140.6
DOS at the Fermi energy in states/eV/f.u.: 4.36
Total magnetization in μB/cell: 0.00
Symmetry: R-3m

a = 10.740 Å, b = 10.740 Å, c = 10.740 Å
α = 21.10°, β = 21.10°, γ = 21.10°
Positions (direct):
Sr: 0.000 0.000 0.000
Pm: 0.500 0.500 0.500
Br: 0.102 0.102 0.102
Br: 0.898 0.898 0.898

---

Compound: SrPmBr
Source: the Alexandria database
Functional: PBE
Structure: relaxed

## Properties
Energy relative to the elements, uncorrected in eV/atom: -0.8368
V in Å³/cell: 244.3
DOS at the Fermi energy in states/eV/f.u.: 1.87
Total magnetization in μB/cell: 0.00
Symmetry: C2/m

a = 4.043 Å, b = 4.043 Å, c = 17.402 Å
α = 96.31°, β = 96.31°, γ = 59.99°
Positions (direct):
Sr: 0.087 0.087 0.278
Sr: 0.913 0.913 0.722
Pm: 0.308 0.308 0.920
Pm: 0.692 0.692 0.080
Br: 0.212 0.212 0.612
Br: 0.788 0.788 0.388

---

Compound: TbPmBr2
Source: the Alexandria database
Functional: PBE
Structure: relaxed

## Properties
Energy relative to the elements, uncorrected in eV/atom: -1.1749
V in Å³/cell: 139.8
DOS at the Fermi energy in states/eV/f.u.: 2.40
Total magnetization in μB/cell: 1.39
Symmetry: Cm

a = 3.875 Å, b = 3.875 Å, c = 10.979 Å
α = 100.09°, β = 100.09°, γ = 59.98°
Positions (direct):
Tb: 0.000 0.000 0.000
Pm: 0.578 0.578 0.732
Br: 0.184 0.184 0.548
Br: 0.726 0.726 0.180

---

Compound: TbPmBr5
Source: the Alexandria database
Functional: PBE
Structure: relaxed

## Properties
Energy relative to the elements, uncorrected in eV/atom: -1.7941
V in Å³/cell: 471.9
DOS at the Fermi energy in states/eV/f.u.: 1.00
Total magnetization in μB/cell: 2.01
Symmetry: P2_1/m

a = 8.569 Å, b = 4.041 Å, c = 13.675 Å
α = 90.00°, β = 94.78°, γ = 90.00°
Positions (direct):
Tb: 0.084 0.250 0.156
Tb: 0.916 0.750 0.844
Pm: 0.397 0.750 0.348
Pm: 0.603 0.250 0.652
Br: 0.128 0.250 0.790
Br: 0.150 0.250 0.372
Br: 0.176 0.750 0.018
Br: 0.366 0.750 0.572
Br: 0.430 0.250 0.191
Br: 0.570 0.750 0.809
Br: 0.634 0.250 0.428
Br: 0.824 0.250 0.982
Br: 0.850 0.750 0.628
Br: 0.872 0.750 0.210

---

Compound: TbPm2Br6
Source: the Alexandria database
Functional: PBE
Structure: relaxed

## Properties
Energy relative to the elements, uncorrected in eV/atom: -1.5465
V in Å³/cell: 278.5
DOS at the Fermi energy in states/eV/f.u.: 3.44
Total magnetization in μB/cell: 0.00
Symmetry: C2/m

a = 8.018 Å, b = 8.018 Å, c = 8.663 Å
α = 122.61°, β = 122.61°, γ = 37.47°
Positions (direct):
Tb: 0.000 0.000 0.000
Pm: 0.161 0.161 0.503
Pm: 0.839 0.839 0.497
Br: 0.078 0.078 0.760
Br: 0.246 0.246 0.266
Br: 0.409 0.409 0.754
Br: 0.591 0.591 0.246
Br: 0.754 0.754 0.734
Br: 0.922 0.922 0.240

---

Compound: TbPmBr3
Source: the Alexandria database
Functional: PBE
Structure: relaxed

## Properties
Energy relative to the elements, uncorrected in eV/atom: -1.2512
V in Å³/cell: 303.0
DOS at the Fermi energy in states/eV/f.u.: 3.88
Total magnetization in μB/cell: 2.82
Symmetry: P-1

a = 6.629 Å, b = 6.632 Å, c = 8.821 Å
α = 67.96°, β = 67.98°, γ = 60.12°
Positions (direct):
Tb: 0.168 0.168 0.494
Tb: 0.832 0.832 0.506
Pm: 0.331 0.332 0.006
Pm: 0.669 0.668 0.994
Br: 0.088 0.418 0.740
Br: 0.247 0.911 0.259
Br: 0.418 0.754 0.740
Br: 0.582 0.246 0.260
Br: 0.753 0.089 0.741
Br: 0.912 0.582 0.260

---

Compound: TbPmBr2
Source: the Alexandria database
Functional: PBE
Structure: relaxed

## Properties
Energy relative to the elements, uncorrected in eV/atom: -1.0114
V in Å³/cell: 119.4
DOS at the Fermi energy in states/eV/f.u.: 3.56
Total magnetization in μB/cell: 0.37
Symmetry: R-3m

a = 10.405 Å, b = 10.405 Å, c = 10.405 Å
α = 20.37°, β = 20.37°, γ = 20.37°
Positions (direct):
Tb: 0.000 0.000 0.000
Pm: 0.500 0.500 0.500
Br: 0.402 0.402 0.402
Br: 0.598 0.598 0.598

---

Compound: TbPmBr3
Source: the Alexandria database
Functional: PBE
Structure: relaxed

## Properties
Energy relative to the elements, uncorrected in eV/atom: -1.5159
V in Å³/cell: 350.0
Total magnetization in μB/cell: 0.00
Symmetry: C2/m

a = 9.377 Å, b = 9.377 Å, c = 11.562 Å
α = 122.89°, β = 122.89°, γ = 24.46°
Positions (direct):
Tb: 0.073 0.073 0.457
Tb: 0.927 0.927 0.543
Pm: 0.362 0.362 0.214
Pm: 0.638 0.638 0.786
Br: 0.165 0.165 0.007
Br: 0.287 0.287 0.382
Br: 0.465 0.465 0.753
Br: 0.535 0.535 0.247
Br: 0.713 0.713 0.618
Br: 0.835 0.835 0.993